#1
Computed, not measured: Cu3Pd4Pt4 after structural relaxation at the PBE-GGA level of DFT.

Its theoretical density is 13.80 Mg/m³. The density of states at the Fermi level is 1.198 states/eV/atom.

It has space group P-1 (No. 2), with a = 2.666 Å, b = 4.498 Å, c = 14.249 Å, α = 99.01°, β = 95.31° and γ = 90.01°. The asymmetric unit holds Cu at (0.000, 0.000, 0.000), Cu at (0.138, 0.639, 0.275), Pd at (0.270, 0.270, 0.541), Pd at (0.410, 0.909, 0.821), Pt at (0.319, 0.818, 0.638) and Pt at (0.453, 0.452, 0.908).

---

#2
Computed, not measured: Cu3Pd4Pt4 after structural relaxation at the PBE-GGA level of DFT.

Its theoretical density is 13.83 Mg/m³. The density of states at the Fermi level is 1.246 states/eV/atom.

It has space group Immm (No. 71), with a = 2.718 Å, b = 7.098 Å, c = 17.391 Å, α = 90.00°, β = 90.00° and γ = 90.00°. The asymmetric unit holds Cu at (0.000, 0.000, 0.000), Cu at (0.000, 0.500, 0.108), Pd at (0.000, 0.000, 0.261), Pd at (0.000, 0.191, 0.500) and Pt at (0.000, 0.312, 0.355).

---

#2 wins, 14 meV per atom ahead of the next structure.